No. 1
The following is a PBE calculation of an optimized crystal structure of SrY2CdPd, from the Alexandria database.

abc: 5.4408 5.4408 5.4148
angles: 90.00 90.00 90.00
With the nearest neighbours (Å) after each atom.
Element x y z (fractional)
Sr: 0.0000 0.0000 0.0000  8 Y 3.84, 4 Cd 3.85
Y: 0.0000 0.5000 0.5000  2 Pd 2.72
Y: 0.5000 0.0000 0.5000  2 Pd 2.72
Cd: 0.5000 0.5000 0.0000  2 Pd 2.71
Pd: 0.5000 0.5000 0.5000  2 Cd 2.71, 4 Y 2.72

## Properties
theoretical density: 5.0 Mg/m³
formation energy: -0.22 eV per atom
magnetization: 0.0 Bohr magnetons per cell

---

No. 2
The following is a PBE calculation of an optimized crystal structure of SrZn2CdPd, from the Alexandria database.

abc: 6.5761 6.5761 6.5761
angles: 141.16 140.97 56.24
With the nearest neighbours (Å) after each atom.
Element x y z (fractional)
Sr: 0.0000 0.0000 0.0000  4 Pd 3.32, 6 Zn 3.37-3.54, 4 Cd 3.60-3.67
Zn: 0.3858 0.3858 0.0000  1 Pd 2.52, 2 Cd 2.72, 2 Zn 2.78
Zn: 0.7389 0.2389 0.5000  2 Pd 2.69, 2 Zn 2.78
Cd: 0.2467 0.7467 0.5000  2 Zn 2.72, 2 Pd 2.75
Pd: 0.6034 0.6034 0.0000  3 Zn 2.52-2.69, 2 Cd 2.75

## Properties
theoretical density: 6.5 Mg/m³
energy above the lowest structure with this stoichiometry: 0.000 eV/atom
formation energy: -0.37 eV per atom
magnetization: 0.0 Bohr magnetons per cell

---

No. 3
The following is a PBE calculation of an optimized crystal structure of Sr2ZnCdPd, from the Alexandria database.

abc: 5.8244 5.8244 4.9136
angles: 90.00 90.00 90.00
With the nearest neighbours (Å) after each atom.
Element x y z (fractional)
Sr: 0.0000 0.5000 0.0000  2 Pd 2.91
Sr: 0.5000 0.0000 0.0000  2 Pd 2.91
Zn: 0.0000 0.0000 0.5000  2 Pd 2.46
Cd: 0.5000 0.5000 0.5000  8 Sr 3.81, 4 Zn 4.12
Pd: 0.0000 0.0000 0.0000  2 Zn 2.46

## Properties
theoretical density: 4.6 Mg/m³
formation energy: -0.29 eV per atom
magnetization: 0.0 Bohr magnetons per cell

---

No. 4
The following is a PBE calculation of an optimized crystal structure of Sr2ZnCdPd6, from the Alexandria database.

abc: 6.9294 6.9294 6.9294
angles: 60.00 60.00 60.00
With the nearest neighbours (Å) after each atom.
Element x y z (fractional)
Sr: 0.2500 0.2500 0.2500  12 Pd 3.47
Sr: 0.7500 0.7500 0.7500  12 Pd 3.47
Zn: 0.0000 0.0000 0.0000  6 Pd 2.35
Cd: 0.5000 0.5000 0.5000  6 Pd 2.55
Pd: 0.2402 0.2402 0.7598  1 Zn 2.35, 1 Cd 2.55
Pd: 0.2402 0.7598 0.2402  1 Zn 2.35, 1 Cd 2.55
Pd: 0.2402 0.7598 0.7598  1 Zn 2.35, 1 Cd 2.55
Pd: 0.7598 0.2402 0.2402  1 Zn 2.35, 1 Cd 2.55
Pd: 0.7598 0.2402 0.7598  1 Zn 2.35, 1 Cd 2.55
Pd: 0.7598 0.7598 0.2402  1 Zn 2.35, 1 Cd 2.55

## Properties
theoretical density: 7.0 Mg/m³
formation energy: -0.14 eV per atom
magnetization: 0.0 Bohr magnetons per cell

---

No. 5
The following is a PBE calculation of an optimized crystal structure of Sr2Zn4CdPd3, from the Alexandria database.

abc: 4.4070 4.4070 10.8895
angles: 90.00 90.00 90.00
With the nearest neighbours (Å) after each atom.
Element x y z (fractional)
Sr: 0.0000 0.5000 0.2402  6 Pd 3.36-3.59, 8 Zn 3.37-3.42, 2 Cd 3.59
Sr: 0.5000 0.0000 0.7598  6 Pd 3.36-3.59, 8 Zn 3.37-3.42, 2 Cd 3.59
Zn: 0.0000 0.0000 0.0000  4 Pd 2.59
Zn: 0.0000 0.5000 0.6412  3 Pd 2.55-2.69, 2 Cd 2.69
Zn: 0.5000 0.0000 0.3588  3 Pd 2.55-2.69, 2 Cd 2.69
Zn: 0.5000 0.5000 0.0000  4 Pd 2.59
Cd: 0.0000 0.0000 0.5000  4 Zn 2.69
Pd: 0.0000 0.5000 0.8752  5 Zn 2.55-2.59
Pd: 0.5000 0.0000 0.1248  5 Zn 2.55-2.59
Pd: 0.5000 0.5000 0.5000  4 Zn 2.69

## Properties
theoretical density: 6.8 Mg/m³
formation energy: -0.47 eV per atom
magnetization: 0.0 Bohr magnetons per cell

---

No. 6
The following is a PBE calculation of an optimized crystal structure of Sr2ZnCd6Pd, from the Alexandria database.

abc: 12.6309 12.6309 12.6309
angles: 32.82 32.82 32.82
With the nearest neighbours (Å) after each atom.
Element x y z (fractional)
Sr: 0.1131 0.1131 0.1131  12 Cd 3.55-3.65
Sr: 0.2862 0.2862 0.2862  12 Cd 3.48-3.59
Sr: 0.7138 0.7138 0.7138  12 Cd 3.48-3.59
Sr: 0.8869 0.8869 0.8869  12 Cd 3.55-3.65
Zn: 0.4281 0.4281 0.4281  1 Pd 2.58, 6 Cd 2.73-2.77
Zn: 0.5719 0.5719 0.5719  1 Pd 2.58, 6 Cd 2.73-2.77
Cd: 0.0727 0.6616 0.6616  1 Pd 2.73, 1 Zn 2.77, 2 Cd 2.93
Cd: 0.2245 0.2245 0.6646  1 Pd 2.68, 1 Zn 2.73
Cd: 0.2245 0.6646 0.2245  1 Pd 2.68, 1 Zn 2.73
Cd: 0.3354 0.7755 0.7755  1 Pd 2.68, 1 Zn 2.73
Cd: 0.3384 0.3384 0.9273  1 Pd 2.73, 1 Zn 2.77, 2 Cd 2.93
Cd: 0.3384 0.9273 0.3384  1 Pd 2.73, 1 Zn 2.77, 2 Cd 2.93
Cd: 0.6616 0.0727 0.6616  1 Pd 2.73, 1 Zn 2.77, 2 Cd 2.93
Cd: 0.6616 0.6616 0.0727  1 Pd 2.73, 1 Zn 2.77, 2 Cd 2.93
Cd: 0.6646 0.2245 0.2245  1 Pd 2.68, 1 Zn 2.73
Cd: 0.7755 0.3354 0.7755  1 Pd 2.68, 1 Zn 2.73
Cd: 0.7755 0.7755 0.3354  1 Pd 2.68, 1 Zn 2.73
Cd: 0.9273 0.3384 0.3384  1 Pd 2.73, 1 Zn 2.77, 2 Cd 2.93
Pd: 0.0000 0.0000 0.0000  6 Cd 2.68
Pd: 0.5000 0.5000 0.5000  2 Zn 2.58, 6 Cd 2.73

## Properties
theoretical density: 6.4 Mg/m³
formation energy: -0.24 eV per atom
magnetization: 0.0 Bohr magnetons per cell

---

No. 7
The following is a PBE calculation of an optimized crystal structure of Sr2Zn3CdPd4, from the Alexandria database.

abc: 4.2841 4.2841 11.3640
angles: 90.00 90.00 90.00
With the nearest neighbours (Å) after each atom.
Element x y z (fractional)
Sr: 0.0000 0.5000 0.2388  8 Pd 3.28-3.46, 6 Zn 3.29-3.66, 2 Cd 3.66
Sr: 0.5000 0.0000 0.7612  8 Pd 3.28-3.46, 6 Zn 3.29-3.66, 2 Cd 3.66
Zn: 0.0000 0.5000 0.8744  5 Pd 2.56-2.57
Zn: 0.5000 0.0000 0.1256  5 Pd 2.56-2.57
Zn: 0.5000 0.5000 0.5000  4 Pd 2.73, 4 Cd 3.03
Cd: 0.0000 0.0000 0.5000  4 Pd 2.73, 4 Zn 3.03
Pd: 0.0000 0.0000 0.0000  4 Zn 2.57
Pd: 0.0000 0.5000 0.6494  3 Zn 2.56-2.73, 2 Cd 2.73
Pd: 0.5000 0.0000 0.3506  3 Zn 2.56-2.73, 2 Cd 2.73
Pd: 0.5000 0.5000 0.0000  4 Zn 2.57

## Properties
theoretical density: 7.2 Mg/m³
formation energy: -0.55 eV per atom
magnetization: 0.0 Bohr magnetons per cell

---

No. 8
The following is a PBE calculation of an optimized crystal structure of SrZn2CdPd, from the Alexandria database.

abc: 4.9078 4.9078 5.2019
angles: 90.00 90.00 90.00
With the nearest neighbours (Å) after each atom.
Element x y z (fractional)
Sr: 0.0000 0.0000 0.0000  4 Cd 3.47, 8 Zn 3.58
Zn: 0.0000 0.5000 0.5000  2 Pd 2.45
Zn: 0.5000 0.0000 0.5000  2 Pd 2.45
Cd: 0.5000 0.5000 0.0000  2 Pd 2.60
Pd: 0.5000 0.5000 0.5000  4 Zn 2.45, 2 Cd 2.60

## Properties
theoretical density: 5.8 Mg/m³
energy above the lowest structure with this stoichiometry: 0.113 eV/atom
formation energy: -0.26 eV per atom
magnetization: 0.0 Bohr magnetons per cell